Material: LaTcBr2
Method: DFT, SCAN
State: single point on PBEsol structure

Cell: 3.6483 4.5543 7.1886 Å, 89.86 104.70 90.00°
Last column: magnetic moment on the atom in μB.
Positions (direct):
Tc1 0.0000 0.5000 0.0000  1.65
Br1 0.1585 0.2416 0.3170  0.05
Br2 0.8415 0.7584 0.6830  0.05
La1 0.5000 0.0000 0.0000  -0.07

Computed properties:
**Crystal system**: monoclinic
**Formation energy without anion corrections**: -610 meV per atom
**Offset from the most stable computed form**: 0.0000 eV per atom
**M_tot**: 1.793 μB per cell

Material: InTcNi2
Method: DFT, SCAN
State: single point on PBEsol structure

Cell: 2.6760 4.0709 5.1016 Å, 90.00 105.16 90.00°
Positions (direct):
Ni1 0.8094 0.0000 0.9937
Ni2 0.9484 0.5000 0.2713
In1 0.2079 0.5000 0.7907
Tc1 0.5342 0.0000 0.4443

Computed properties:
**Crystal system**: orthorhombic
**M_tot**: 0.003 μB per cell
**ΔE_f**: 0.152 eV per atom

Material: SrYMg4
Method: DFT, SCAN
State: single point on PBEsol structure

Cell: 6.1604 6.1604 6.1604 Å, 60.00 60.00 60.00°
Positions (direct):
Mg1 0.3739 0.3739 0.8782
Mg2 0.8782 0.3739 0.3739
Mg3 0.3739 0.3739 0.3739
Mg4 0.3739 0.8782 0.3739
Y1 0.0000 0.0000 0.0000
Sr1 0.7500 0.7500 0.7500

Computed properties:
**Crystal system**: cubic
**M_tot**: 0.000 μB per cell
**ΔE_f**: -0.065 eV per atom

Material: CeZn
Method: DFT, SCAN
State: single point on PBEsol structure

Cell: 3.5340 3.5340 3.5340 Å, 90.00 90.00 90.00°
Last column: magnetic moment on the atom in μB.
Positions (direct):
Zn1 0.5000 0.5000 0.5000  0.03
Ce1 0.0000 0.0000 0.0000  0.88

Computed properties:
**Crystal system**: cubic
**M_tot**: 1.159 μB per cell
**ΔE_f**: -0.183 eV per atom

Material: LiReAs2
Method: DFT, SCAN
State: single point on PBEsol structure

Cell: 2.7128 2.7128 9.4695 Å, 90.00 90.00 108.51°
Positions (direct):
As1 0.5000 0.5000 0.7176
As2 0.0000 0.0000 0.0398
Re1 0.5000 0.5000 0.2512
Li1 0.0000 0.0000 0.4915

Computed properties:
**Crystal system**: orthorhombic
**Offset from the most stable computed form**: 0.4728 eV per atom
**M_tot**: 0.000 μB per cell
**ΔE_f**: 0.247 eV per atom

Material: CaGe3H
Method: DFT, SCAN
State: single point on PBEsol structure

Cell: 5.4169 5.4169 5.4169 Å, 90.00 90.00 90.00°
Last column: magnetic moment on the atom in μB.
Positions (direct):
Ge1 0.5000 0.0000 0.0000  0.14
Ge2 0.0000 0.0000 0.5000  0.14
Ge3 0.0000 0.5000 0.0000  0.14
Ca1 0.0000 0.0000 0.0000  0.17
H1 0.5000 0.5000 0.5000  0.34

Computed properties:
**Crystal system**: cubic
**Uncorrected energy**: -12.50 eV/atom
**M_tot**: 1.776 μB per cell

What did the third record say?
Material: SrYMg4
Method: DFT, SCAN
State: single point on PBEsol structure

Cell: 6.1604 6.1604 6.1604 Å, 60.00 60.00 60.00°
Positions (direct):
Mg1 0.3739 0.3739 0.8782
Mg2 0.8782 0.3739 0.3739
Mg3 0.3739 0.3739 0.3739
Mg4 0.3739 0.8782 0.3739
Y1 0.0000 0.0000 0.0000
Sr1 0.7500 0.7500 0.7500

Computed properties:
**Crystal system**: cubic
**M_tot**: 0.000 μB per cell
**ΔE_f**: -0.065 eV per atom